one.
DFT (GGA-PBE) results for a geometry-optimized CsBiOF2 structure.

a = 5.1639 Å, b = 5.1639 Å, c = 4.5661 Å
α = 90.00°, β = 90.00°, γ = 90.00°
With the nearest neighbours (Å) after each atom.
Fractional coordinates of all 5 atoms:
Cs (0.0000, 0.0000, 0.0000)  2 O 2.28
F (0.5000, 0.0000, 0.0000)  2 Cs 2.58
F (0.0000, 0.5000, 0.0000)  2 Cs 2.58
O (0.0000, 0.0000, 0.5000)  2 Cs 2.28
Bi (0.5000, 0.5000, 0.5000)  8 F 3.45, 4 O 3.65

The calculation puts the density of states at the Fermi level at 0.828 states/eV per atom. Its space-group type is P4/mmm (123). The calculation puts the total magnetization at 0.00 Bohr magnetons per cell.



two.
DFT (GGA-PBE) results for a geometry-optimized CsBiOF2 structure.

a = 4.8124 Å, b = 4.8124 Å, c = 4.5112 Å
α = 90.00°, β = 90.00°, γ = 90.00°
With the nearest neighbours (Å) after each atom.
Fractional coordinates of all 5 atoms:
F (0.5000, 0.0000, 0.0000)  2 Bi 2.41
F (0.0000, 0.5000, 0.0000)  2 Bi 2.41
Bi (0.0000, 0.0000, 0.0000)  2 O 2.26, 4 F 2.41
Cs (0.5000, 0.5000, 0.5000)  8 F 3.30, 4 O 3.40
O (0.0000, 0.0000, 0.5000)  2 Bi 2.26

The calculation puts the density of states at the Fermi level at 0.000 states/eV per atom. Its space-group type is P4/mmm (123). The calculation puts the total magnetization at 0.00 Bohr magnetons per cell.



Which structure loses on stability? one does.



one.
DFT (GGA-PBE) results for a geometry-optimized Cs2RbBiF6 structure.

a = 6.9582 Å, b = 7.0723 Å, c = 9.8693 Å
α = 90.00°, β = 89.99°, γ = 90.00°
With the nearest neighbours (Å) after each atom.
Fractional coordinates of all 20 atoms:
F (0.7637, 0.8138, 0.5390)  1 Bi 2.29
F (0.5817, 0.0319, 0.2762)  1 Bi 2.29
F (0.0817, 0.4681, 0.7762)  1 Bi 2.29
F (0.2363, 0.1862, 0.4610)  1 Bi 2.29
F (0.8186, 0.7625, 0.9518)  1 Bi 2.29
F (0.6814, 0.2625, 0.5482)  1 Bi 2.29
F (0.1814, 0.2375, 0.0482)  1 Bi 2.29
F (0.4183, 0.9681, 0.7238)  1 Bi 2.29
F (0.9183, 0.5319, 0.2238)  1 Bi 2.29
F (0.2637, 0.6862, 0.0390)  1 Bi 2.29
F (0.7363, 0.3138, 0.9610)  1 Bi 2.29
F (0.3186, 0.7375, 0.4518)  1 Bi 2.29
Bi (0.5000, 0.0000, 0.5000)  6 F 2.29
Bi (0.0000, 0.5000, 0.0000)  6 F 2.29
Cs (0.5089, 0.5373, 0.7504)  6 F 3.02-3.36
Cs (0.4911, 0.4627, 0.2496)  6 F 3.02-3.36
Cs (0.0089, 0.9627, 0.2504)  6 F 3.02-3.36
Cs (0.9911, 0.0373, 0.7496)  6 F 3.02-3.36
Rb (0.0000, 0.5000, 0.5000)  6 F 2.79-2.82
Rb (0.5000, 0.0000, 0.0000)  6 F 2.79-2.82

The calculation puts the density of states at the Fermi level at 0.000 states/eV per atom. Its space-group type is P2_1/c (14). The calculation puts the total magnetization at 0.00 Bohr magnetons per cell.



two.
DFT (GGA-PBE) results for a geometry-optimized Cs2RbBiF6 structure.

a = 7.0421 Å, b = 7.0421 Å, c = 7.0421 Å
α = 60.00°, β = 60.00°, γ = 60.00°
With the nearest neighbours (Å) after each atom.
Fractional coordinates of all 10 atoms:
F (0.2287, 0.7713, 0.2287)  1 Bi 2.28
F (0.7713, 0.2287, 0.7713)  1 Bi 2.28
F (0.2287, 0.7713, 0.7713)  1 Bi 2.28
F (0.2287, 0.2287, 0.7713)  1 Bi 2.28
F (0.7713, 0.7713, 0.2287)  1 Bi 2.28
F (0.7713, 0.2287, 0.2287)  1 Bi 2.28
Cs (0.2500, 0.2500, 0.2500)  12 F 3.53
Cs (0.7500, 0.7500, 0.7500)  12 F 3.53
Bi (0.0000, 0.0000, 0.0000)  6 F 2.28
Rb (0.5000, 0.5000, 0.5000)  6 F 2.70

The calculation puts the density of states at the Fermi level at 0.000 states/eV per atom. Its space-group type is Fm-3m (225). The calculation puts the total magnetization at 0.00 Bohr magnetons per cell.



Which structure loses on stability? two does.



one.
DFT (GGA-PBE) results for a geometry-optimized CsFe3Bi structure.

a = 5.1866 Å, b = 5.1866 Å, c = 5.1866 Å
α = 90.00°, β = 90.00°, γ = 90.00°
With the nearest neighbours (Å) after each atom.
Fractional coordinates of all 5 atoms:
Bi (0.0000, 0.0000, 0.0000)  6 Fe 2.59
Cs (0.5000, 0.5000, 0.5000)  12 Fe 3.67
Fe (0.0000, 0.0000, 0.5000)  2 Bi 2.59
Fe (0.0000, 0.5000, 0.0000)  2 Bi 2.59
Fe (0.5000, 0.0000, 0.0000)  2 Bi 2.59

The calculation puts the density of states at the Fermi level at 1.699 states/eV per atom. Its space-group type is Pm-3m (221). The calculation puts the total magnetization at 8.02 Bohr magnetons per cell.



two.
DFT (GGA-PBE) results for a geometry-optimized CsFe3Bi structure.

a = 4.9480 Å, b = 4.9480 Å, c = 4.9480 Å
α = 90.00°, β = 90.00°, γ = 90.00°
With the nearest neighbours (Å) after each atom.
Fractional coordinates of all 5 atoms:
Fe (0.0000, 0.5000, 0.0000)  2 Cs 2.47
Fe (0.0000, 0.0000, 0.5000)  2 Cs 2.47
Fe (0.5000, 0.0000, 0.0000)  2 Cs 2.47
Bi (0.5000, 0.5000, 0.5000)  12 Fe 3.50
Cs (0.0000, 0.0000, 0.0000)  6 Fe 2.47

The calculation puts the density of states at the Fermi level at 1.680 states/eV per atom. Its space-group type is Pm-3m (221). The calculation puts the total magnetization at 7.98 Bohr magnetons per cell.



Which structure loses on stability? two does.



one.
DFT (GGA-PBE) results for a geometry-optimized Cs2Ga2Bi structure.

a = 7.8365 Å, b = 7.8365 Å, c = 6.2355 Å
α = 90.00°, β = 90.00°, γ = 90.00°
With the nearest neighbours (Å) after each atom.
Fractional coordinates of all 10 atoms:
Ga (0.1172, 0.3828, 0.0000)  1 Ga 2.60
Ga (0.8828, 0.6172, 0.0000)  1 Ga 2.60
Ga (0.3828, 0.8828, 0.0000)  1 Ga 2.60
Ga (0.6172, 0.1172, 0.0000)  1 Ga 2.60
Cs (0.6923, 0.8077, 0.5000)  6 Ga 3.77-3.99, 4 Cs 4.02
Cs (0.3077, 0.1923, 0.5000)  6 Ga 3.77-3.99, 4 Cs 4.02
Cs (0.8077, 0.3077, 0.5000)  6 Ga 3.77-3.99, 4 Cs 4.02
Cs (0.1923, 0.6923, 0.5000)  6 Ga 3.77-3.99, 4 Cs 4.02
Bi (0.5000, 0.5000, 0.0000)  4 Ga 3.14
Bi (0.0000, 0.0000, 0.0000)  4 Ga 3.14

The calculation puts the density of states at the Fermi level at 1.084 states/eV per atom. Its space-group type is P4/mbm (127). The calculation puts the total magnetization at 0.00 Bohr magnetons per cell.



two.
DFT (GGA-PBE) results for a geometry-optimized Cs2Ga2Bi structure.

a = 7.1101 Å, b = 9.2666 Å, c = 7.7256 Å
α = 79.85°, β = 62.64°, γ = 67.44°
With the nearest neighbours (Å) after each atom.
Fractional coordinates of all 10 atoms:
Bi (0.1469, 0.7061, 0.0000)  4 Ga 3.10-3.16
Bi (0.8531, 0.2939, 0.0000)  4 Ga 3.10-3.16
Ga (0.2701, 0.0000, 0.9997)  2 Ga 2.64
Ga (0.8687, 0.0000, 0.2636)  2 Ga 2.64
Ga (0.7299, 0.0000, 0.0003)  2 Ga 2.64
Ga (0.1313, 0.0000, 0.7364)  2 Ga 2.64
Cs (0.1979, 0.2847, 0.3193)  3 Ga 3.66-3.76
Cs (0.4826, 0.7153, 0.3193)  3 Ga 3.66-3.76
Cs (0.8021, 0.7153, 0.6807)  3 Ga 3.66-3.76
Cs (0.5174, 0.2847, 0.6807)  3 Ga 3.66-3.76

The calculation puts the density of states at the Fermi level at 0.096 states/eV per atom. Its space-group type is Fmmm (69). The calculation puts the total magnetization at 0.00 Bohr magnetons per cell.



three.
DFT (GGA-PBE) results for a geometry-optimized Cs2Ga2Bi structure.

a = 3.8429 Å, b = 3.8429 Å, c = 13.2017 Å
α = 81.63°, β = 81.63°, γ = 90.00°
With the nearest neighbours (Å) after each atom.
Fractional coordinates of all 5 atoms:
Cs (0.6100, 0.6100, 0.7800)  4 Cs 3.84, 4 Bi 3.93, 4 Ga 4.10
Cs (0.3900, 0.3900, 0.2200)  4 Cs 3.84, 4 Bi 3.93, 4 Ga 4.10
Bi (0.0000, 0.0000, 0.0000)  4 Bi 3.84, 8 Cs 3.93
Ga (0.7500, 0.2500, 0.5000)  4 Ga 2.72
Ga (0.2500, 0.7500, 0.5000)  4 Ga 2.72

The calculation puts the density of states at the Fermi level at 0.667 states/eV per atom. Its space-group type is I4/mmm (139). The calculation puts the total magnetization at 0.00 Bohr magnetons per cell.



Which structure loses on stability? three does.